Entry one
Compound: Rb3AgS2
Source: the Alexandria database
Functional: PBE-GGA
Structure: relaxed

M_tot: 0.000 μB per atom
calculated volume: 34.87 A^3/atom

```
data_Rb3AgS2
_cell_length_a 10.046
_cell_length_b 10.046
_cell_length_c 16.586
_cell_angle_alpha 90.00
_cell_angle_beta 90.00
_cell_angle_gamma 90.00
_symmetry_space_group_name_H-M 'I 41/a m d'
_symmetry_Int_Tables_number 141
loop_
_symmetry_equiv_pos_as_xyz
'x,y,z'
'-x,-y,-z'
'-y+1/4,x+3/4,z+1/4'
'y+1/4,-x+3/4,-z+1/4'
'-x+1/2,-y,z+1/2'
'x+1/2,y,-z+1/2'
'y+1/4,-x+1/4,z+3/4'
'-y+1/4,x+1/4,-z+3/4'
'x,-y,-z'
'-x,y,z'
'-y+1/4,-x+1/4,-z+3/4'
'y+1/4,x+1/4,z+3/4'
'-x+1/2,y,-z+1/2'
'x+1/2,-y,z+1/2'
'y+1/4,x+3/4,-z+1/4'
'-y+1/4,-x+3/4,z+1/4'
'x+1/2,y+1/2,z+1/2'
'-x+1/2,-y+1/2,-z+1/2'
'-y+3/4,x+1/4,z+3/4'
'y+3/4,-x+1/4,-z+3/4'
'-x,-y+1/2,z'
'x,y+1/2,-z'
'y+3/4,-x+3/4,z+1/4'
'-y+3/4,x+3/4,-z+1/4'
'x+1/2,-y+1/2,-z+1/2'
'-x+1/2,y+1/2,z+1/2'
'-y+3/4,-x+3/4,-z+1/4'
'y+3/4,x+3/4,z+1/4'
'-x,y+1/2,-z'
'x,-y+1/2,z'
'y+3/4,x+1/4,-z+3/4'
'-y+3/4,-x+1/4,z+3/4'
loop_
_atom_site_label
_atom_site_fract_x
_atom_site_fract_y
_atom_site_fract_z
_atom_site_occupancy
Rb1 0.000 0.000 0.000 1
Rb2 0.199 0.051 0.375 1
Ag1 0.000 0.250 0.214 1
S1 0.000 0.014 0.214 1
```

Entry two
Compound: Rb3AgS2
Source: the Alexandria database
Functional: PBE-GGA
Structure: relaxed

M_tot: 0.000 μB per atom
calculated volume: 37.10 A^3/atom

```
data_Rb3AgS2
_cell_length_a 7.372
_cell_length_b 13.949
_cell_length_c 8.660
_cell_angle_alpha 90.00
_cell_angle_beta 90.00
_cell_angle_gamma 90.00
_symmetry_space_group_name_H-M 'I b a m'
_symmetry_Int_Tables_number 72
_symmetry_space_group_name_Hall '-I 2 2c'
loop_
_atom_site_label
_atom_site_fract_x
_atom_site_fract_y
_atom_site_fract_z
_atom_site_occupancy
Rb1 0.000 0.000 0.250 1
Rb2 0.000 0.271 0.250 1
Ag1 0.000 0.500 0.000 1
S1 0.242 0.383 0.000 1
```

Name the least stable of them. entry two.

Entry one
Compound: RbAg3S3
Source: the Alexandria database
Functional: PBE-GGA
Structure: relaxed

M_tot: 0.000 μB per atom
calculated volume: 26.68 A^3/atom

```
data_RbAg3S3
_cell_length_a 7.2473
_cell_length_b 7.2473
_cell_length_c 24.6340
_cell_angle_alpha 90.00
_cell_angle_beta 90.00
_cell_angle_gamma 120.00
_symmetry_space_group_name_H-M 'R -3'
_symmetry_Int_Tables_number 148
_symmetry_space_group_name_Hall '-R 3'
loop_
_atom_site_label
_atom_site_fract_x
_atom_site_fract_y
_atom_site_fract_z
_atom_site_occupancy
Rb1 0.0000 0.0000 0.1666 1
Ag1 0.9998 0.3282 0.3767 1
S1 0.9999 0.3366 0.5982 1
```

Entry two
Compound: RbAg3S3
Source: the Alexandria database
Functional: PBE-GGA
Structure: relaxed

M_tot: 0.000 μB per atom
calculated volume: 25.56 A^3/atom

```
data_RbAg3S3
_cell_length_a 7.099
_cell_length_b 7.099
_cell_length_c 7.099
_cell_angle_alpha 90.00
_cell_angle_beta 90.00
_cell_angle_gamma 90.00
_symmetry_space_group_name_H-M 'P m -3 n'
_symmetry_Int_Tables_number 223
_symmetry_space_group_name_Hall '-P 4n 2 3'
loop_
_atom_site_label
_atom_site_fract_x
_atom_site_fract_y
_atom_site_fract_z
_atom_site_occupancy
Rb1 0.000 0.000 0.000 1
Ag1 0.000 0.250 0.500 1
S1 0.000 0.500 0.250 1
```

Name the least stable of them. entry one.

Entry one
Compound: RbAg2S2
Source: the Alexandria database
Functional: PBE-GGA
Structure: relaxed

M_tot: 0.000 μB per atom
calculated volume: 28.66 A^3/atom

```
data_RbAg2S2
_cell_length_a 5.056
_cell_length_b 5.056
_cell_length_c 11.210
_cell_angle_alpha 90.00
_cell_angle_beta 90.00
_cell_angle_gamma 90.00
_symmetry_space_group_name_H-M 'I 4/m m m'
_symmetry_Int_Tables_number 139
_symmetry_space_group_name_Hall '-I 4 2'
loop_
_atom_site_label
_atom_site_fract_x
_atom_site_fract_y
_atom_site_fract_z
_atom_site_occupancy
Rb1 0.000 0.000 0.000 1
Ag1 0.000 0.000 0.290 1
S1 0.000 0.500 0.250 1
```

Entry two
Compound: RbAg2S2
Source: the Alexandria database
Functional: PBE-GGA
Structure: relaxed

M_tot: 0.000 μB per atom
calculated volume: 24.60 A^3/atom

```
data_RbAg2S2
_cell_length_a 4.299
_cell_length_b 4.299
_cell_length_c 13.308
_cell_angle_alpha 90.00
_cell_angle_beta 90.00
_cell_angle_gamma 90.00
_symmetry_space_group_name_H-M 'I 4/m m m'
_symmetry_Int_Tables_number 139
_symmetry_space_group_name_Hall '-I 4 2'
loop_
_atom_site_label
_atom_site_fract_x
_atom_site_fract_y
_atom_site_fract_z
_atom_site_occupancy
Rb1 0.000 0.000 0.000 1
Ag1 0.000 0.500 0.250 1
S1 0.000 0.000 0.361 1
```

Name the least stable of them. entry one.

Entry one
Compound: Rb2AgSbS4
Source: the Alexandria database
Functional: PBE-GGA
Structure: relaxed

M_tot: 0.000 μB per atom
calculated volume: 30.50 A^3/atom

```
data_Rb2AgSbS4
_cell_length_a 8.362
_cell_length_b 10.989
_cell_length_c 13.346
_cell_angle_alpha 90.00
_cell_angle_beta 127.25
_cell_angle_gamma 90.00
_symmetry_space_group_name_H-M 'P 1 21/c 1'
_symmetry_Int_Tables_number 14
loop_
_symmetry_equiv_pos_as_xyz
'x,y,z'
'-x,-y,-z'
'-x,y+1/2,-z+1/2'
'x,-y+1/2,z+1/2'
loop_
_atom_site_label
_atom_site_fract_x
_atom_site_fract_y
_atom_site_fract_z
_atom_site_occupancy
Rb1 0.112 0.009 0.236 1
Rb2 0.370 0.730 0.510 1
Ag1 0.349 0.533 0.222 1
Sb1 0.185 0.223 0.541 1
S1 0.140 0.726 0.156 1
S2 0.169 0.182 0.709 1
S3 0.322 0.079 0.062 1
S4 0.388 0.067 0.550 1
```

Entry two
Compound: Rb2AgSbS4
Source: the Alexandria database
Functional: PBE-GGA
Structure: relaxed

M_tot: 0.000 μB per atom
calculated volume: 33.57 A^3/atom

```
data_Rb2AgSbS4
_cell_length_a 6.387
_cell_length_b 13.847
_cell_length_c 24.295
_cell_angle_alpha 90.00
_cell_angle_beta 90.00
_cell_angle_gamma 90.00
_symmetry_space_group_name_H-M 'F d d d'
_symmetry_Int_Tables_number 70
loop_
_symmetry_equiv_pos_as_xyz
'x,y,z'
'-x,-y,-z'
'-x+1/4,-y+1/4,z'
'x+1/4,y+1/4,-z'
'x,-y+1/4,-z+1/4'
'-x,y+1/4,z+1/4'
'-x+1/4,y,-z+1/4'
'x+1/4,-y,z+1/4'
'x,y+1/2,z+1/2'
'-x,-y+1/2,-z+1/2'
'-x+1/4,-y+3/4,z+1/2'
'x+1/4,y+3/4,-z+1/2'
'x,-y+3/4,-z+3/4'
'-x,y+3/4,z+3/4'
'-x+1/4,y+1/2,-z+3/4'
'x+1/4,-y+1/2,z+3/4'
'x+1/2,y,z+1/2'
'-x+1/2,-y,-z+1/2'
'-x+3/4,-y+1/4,z+1/2'
'x+3/4,y+1/4,-z+1/2'
'x+1/2,-y+1/4,-z+3/4'
'-x+1/2,y+1/4,z+3/4'
'-x+3/4,y,-z+3/4'
'x+3/4,-y,z+3/4'
'x+1/2,y+1/2,z'
'-x+1/2,-y+1/2,-z'
'-x+3/4,-y+3/4,z'
'x+3/4,y+3/4,-z'
'x+1/2,-y+3/4,-z+1/4'
'-x+1/2,y+3/4,z+1/4'
'-x+3/4,y+1/2,-z+1/4'
'x+3/4,-y+1/2,z+1/4'
loop_
_atom_site_label
_atom_site_fract_x
_atom_site_fract_y
_atom_site_fract_z
_atom_site_occupancy
Rb1 0.125 0.125 0.307 1
Ag1 0.125 0.125 0.125 1
Sb1 0.125 0.125 0.625 1
S1 0.092 0.272 0.822 1
```

Name the least stable of them. entry two.

Entry one
Compound: Rb2VAgS4
Source: the Alexandria database
Functional: PBE-GGA
Structure: relaxed

M_tot: 0.000 μB per atom
calculated volume: 29.60 A^3/atom

```
data_Rb2VAgS4
_cell_length_a 5.839
_cell_length_b 13.699
_cell_length_c 23.682
_cell_angle_alpha 90.00
_cell_angle_beta 90.00
_cell_angle_gamma 90.00
_symmetry_space_group_name_H-M 'F d d d'
_symmetry_Int_Tables_number 70
loop_
_symmetry_equiv_pos_as_xyz
'x,y,z'
'-x,-y,-z'
'-x+1/4,-y+1/4,z'
'x+1/4,y+1/4,-z'
'x,-y+1/4,-z+1/4'
'-x,y+1/4,z+1/4'
'-x+1/4,y,-z+1/4'
'x+1/4,-y,z+1/4'
'x,y+1/2,z+1/2'
'-x,-y+1/2,-z+1/2'
'-x+1/4,-y+3/4,z+1/2'
'x+1/4,y+3/4,-z+1/2'
'x,-y+3/4,-z+3/4'
'-x,y+3/4,z+3/4'
'-x+1/4,y+1/2,-z+3/4'
'x+1/4,-y+1/2,z+3/4'
'x+1/2,y,z+1/2'
'-x+1/2,-y,-z+1/2'
'-x+3/4,-y+1/4,z+1/2'
'x+3/4,y+1/4,-z+1/2'
'x+1/2,-y+1/4,-z+3/4'
'-x+1/2,y+1/4,z+3/4'
'-x+3/4,y,-z+3/4'
'x+3/4,-y,z+3/4'
'x+1/2,y+1/2,z'
'-x+1/2,-y+1/2,-z'
'-x+3/4,-y+3/4,z'
'x+3/4,y+3/4,-z'
'x+1/2,-y+3/4,-z+1/4'
'-x+1/2,y+3/4,z+1/4'
'-x+3/4,y+1/2,-z+1/4'
'x+3/4,-y+1/2,z+1/4'
loop_
_atom_site_label
_atom_site_fract_x
_atom_site_fract_y
_atom_site_fract_z
_atom_site_occupancy
Rb1 0.125 0.125 0.304 1
V1 0.125 0.125 0.125 1
Ag1 0.125 0.125 0.625 1
S1 0.078 0.279 0.429 1
```

Entry two
Compound: Rb2VAgS4
Source: the Alexandria database
Functional: PBE-GGA
Structure: relaxed

M_tot: 0.000 μB per atom
calculated volume: 29.48 A^3/atom

```
data_Rb2VAgS4
_cell_length_a 5.779
_cell_length_b 13.639
_cell_length_c 23.936
_cell_angle_alpha 90.00
_cell_angle_beta 90.00
_cell_angle_gamma 90.00
_symmetry_space_group_name_H-M 'F d d d'
_symmetry_Int_Tables_number 70
loop_
_symmetry_equiv_pos_as_xyz
'x,y,z'
'-x,-y,-z'
'-x+1/4,-y+1/4,z'
'x+1/4,y+1/4,-z'
'x,-y+1/4,-z+1/4'
'-x,y+1/4,z+1/4'
'-x+1/4,y,-z+1/4'
'x+1/4,-y,z+1/4'
'x,y+1/2,z+1/2'
'-x,-y+1/2,-z+1/2'
'-x+1/4,-y+3/4,z+1/2'
'x+1/4,y+3/4,-z+1/2'
'x,-y+3/4,-z+3/4'
'-x,y+3/4,z+3/4'
'-x+1/4,y+1/2,-z+3/4'
'x+1/4,-y+1/2,z+3/4'
'x+1/2,y,z+1/2'
'-x+1/2,-y,-z+1/2'
'-x+3/4,-y+1/4,z+1/2'
'x+3/4,y+1/4,-z+1/2'
'x+1/2,-y+1/4,-z+3/4'
'-x+1/2,y+1/4,z+3/4'
'-x+3/4,y,-z+3/4'
'x+3/4,-y,z+3/4'
'x+1/2,y+1/2,z'
'-x+1/2,-y+1/2,-z'
'-x+3/4,-y+3/4,z'
'x+3/4,y+3/4,-z'
'x+1/2,-y+3/4,-z+1/4'
'-x+1/2,y+3/4,z+1/4'
'-x+3/4,y+1/2,-z+1/4'
'x+3/4,-y+1/2,z+1/4'
loop_
_atom_site_label
_atom_site_fract_x
_atom_site_fract_y
_atom_site_fract_z
_atom_site_occupancy
Rb1 0.125 0.125 0.303 1
V1 0.125 0.125 0.625 1
Ag1 0.125 0.125 0.125 1
S1 0.080 0.279 0.821 1
```

Name the least stable of them. entry two.